(1)
# MgPdPt2N6 GGA-PBE optimized geometry
data_MgPdPt2N6
_chemical_formula_sum 'Mg1 Pd1 Pt2 N6'
_cell_length_a 6.347
_cell_length_b 6.347
_cell_length_c 3.122
_cell_angle_alpha 90.00
_cell_angle_beta 90.00
_cell_angle_gamma 112.34
_symmetry_space_group_name_H-M 'P 1'
_symmetry_Int_Tables_number 1
_symmetry_space_group_name_Hall 'P 1'
loop_
_atom_site_label
_atom_site_type_symbol
_atom_site_fract_x
_atom_site_fract_y
_atom_site_fract_z
Mg1 Mg 0.500 0.500 0.000
N1 N 0.318 0.029 0.000
N2 N 0.029 0.318 0.000
N3 N 0.971 0.682 0.000
N4 N 0.682 0.971 0.000
N5 N 0.644 0.356 0.500
N6 N 0.356 0.644 0.500
Pd1 Pd 0.000 0.000 0.000
Pt1 Pt 0.500 0.000 0.500
Pt2 Pt 0.000 0.500 0.500
# - magnetization (μB/f.u.) = 0.0
# - ρ (Mg/m³) = 8.64
# - crystal system = orthorhombic
# - electronic total energy (eV for the cell shown) = -59.47

(2)
# MgZnPd2N4 GGA-PBE optimized geometry
data_MgZnPd2N4
_chemical_formula_sum 'Mg1 Zn1 Pd2 N4'
_cell_length_a 5.763
_cell_length_b 5.763
_cell_length_c 5.763
_cell_angle_alpha 132.50
_cell_angle_beta 132.50
_cell_angle_gamma 69.43
_symmetry_space_group_name_H-M 'P 1'
_symmetry_Int_Tables_number 1
_symmetry_space_group_name_Hall 'P 1'
loop_
_atom_site_label
_atom_site_type_symbol
_atom_site_fract_x
_atom_site_fract_y
_atom_site_fract_z
Mg1 Mg 0.000 0.000 0.000
N1 N 0.130 0.616 0.002
N2 N 0.871 0.870 0.486
N3 N 0.384 0.385 0.514
N4 N 0.615 0.129 0.998
Pd1 Pd 0.500 0.500 0.000
Pd2 Pd 0.250 0.750 0.500
Zn1 Zn 0.750 0.250 0.500
# - ρ (Mg/m³) = 5.83
# - crystal system = tetragonal
# - electronic total energy (eV for the cell shown) = -41.52

(3)
# Sr2MgPtN6 GGA-PBE optimized geometry
data_Sr2MgPtN6
_chemical_formula_sum 'Sr2 Mg1 Pt1 N6'
_cell_length_a 5.553
_cell_length_b 5.553
_cell_length_c 5.897
_cell_angle_alpha 119.13
_cell_angle_beta 119.13
_cell_angle_gamma 58.90
_symmetry_space_group_name_H-M 'P 1'
_symmetry_Int_Tables_number 1
_symmetry_space_group_name_Hall 'P 1'
loop_
_atom_site_label
_atom_site_type_symbol
_atom_site_fract_x
_atom_site_fract_y
_atom_site_fract_z
Mg1 Mg 0.000 0.000 0.000
N1 N 0.253 0.253 0.250
N2 N 0.760 0.251 0.262
N3 N 0.251 0.760 0.262
N4 N 0.749 0.240 0.738
N5 N 0.240 0.749 0.738
N6 N 0.747 0.747 0.750
Pt1 Pt 0.500 0.500 0.500
Sr1 Sr 0.749 0.749 0.246
Sr2 Sr 0.251 0.251 0.754
# - E above lowest polymorph (kJ/mol of atoms) = 0.0
# - magnetization (μB/f.u.) = 1.1
# - ρ (Mg/m³) = 6.16
# - crystal system = monoclinic
# - electronic total energy (eV for the cell shown) = -54.78

(4)
# Sr2MgPtN6 GGA-PBE optimized geometry
data_Sr2MgPtN6
_chemical_formula_sum 'Sr2 Mg1 Pt1 N6'
_cell_length_a 5.681
_cell_length_b 5.681
_cell_length_c 5.681
_cell_angle_alpha 120.03
_cell_angle_beta 120.03
_cell_angle_gamma 89.94
_symmetry_space_group_name_H-M 'P 1'
_symmetry_Int_Tables_number 1
_symmetry_space_group_name_Hall 'P 1'
loop_
_atom_site_label
_atom_site_type_symbol
_atom_site_fract_x
_atom_site_fract_y
_atom_site_fract_z
Mg1 Mg 0.000 0.000 0.000
N1 N 0.252 0.252 0.000
N2 N 0.748 0.748 0.000
N3 N 0.754 0.258 0.012
N4 N 0.742 0.754 0.496
N5 N 0.258 0.246 0.504
N6 N 0.246 0.742 0.988
Pt1 Pt 0.500 0.500 0.000
Sr1 Sr 0.750 0.250 0.500
Sr2 Sr 0.250 0.750 0.500
# - E above lowest polymorph (kJ/mol of atoms) = 0.9
# - magnetization (μB/f.u.) = 0.0
# - ρ (Mg/m³) = 6.13
# - crystal system = tetragonal
# - electronic total energy (eV for the cell shown) = -54.69

(5)
# Sr2MgPtN6 GGA-PBE optimized geometry
data_Sr2MgPtN6
_chemical_formula_sum 'Sr2 Mg1 Pt1 N6'
_cell_length_a 5.434
_cell_length_b 5.614
_cell_length_c 5.617
_cell_angle_alpha 63.48
_cell_angle_beta 62.65
_cell_angle_gamma 62.66
_symmetry_space_group_name_H-M 'P 1'
_symmetry_Int_Tables_number 1
_symmetry_space_group_name_Hall 'P 1'
loop_
_atom_site_label
_atom_site_type_symbol
_atom_site_fract_x
_atom_site_fract_y
_atom_site_fract_z
Mg1 Mg 0.500 0.000 0.000
N1 N 0.245 0.265 0.240
N2 N 0.738 0.746 0.263
N3 N 0.245 0.754 0.264
N4 N 0.755 0.246 0.736
N5 N 0.262 0.254 0.737
N6 N 0.755 0.735 0.760
Pt1 Pt 0.000 0.500 0.500
Sr1 Sr 0.751 0.251 0.245
Sr2 Sr 0.249 0.749 0.755
# - E above lowest polymorph (kJ/mol of atoms) = 0.5
# - magnetization (μB/f.u.) = 0.0
# - ρ (Mg/m³) = 6.16
# - crystal system = triclinic
# - electronic total energy (eV for the cell shown) = -54.74

(6)
# Mg3Re2W3N12 GGA-PBE optimized geometry
data_Mg3Re2W3N12
_chemical_formula_sum 'Mg12 Re8 W12 N48'
_cell_length_a 10.777
_cell_length_b 10.777
_cell_length_c 10.777
_cell_angle_alpha 109.47
_cell_angle_beta 109.47
_cell_angle_gamma 109.47
_symmetry_space_group_name_H-M 'P 1'
_symmetry_Int_Tables_number 1
_symmetry_space_group_name_Hall 'P 1'
loop_
_atom_site_label
_atom_site_type_symbol
_atom_site_fract_x
_atom_site_fract_y
_atom_site_fract_z
Mg1 Mg 0.250 0.375 0.125
Mg2 Mg 0.375 0.750 0.125
Mg3 Mg 0.375 0.125 0.250
Mg4 Mg 0.875 0.625 0.250
Mg5 Mg 0.750 0.125 0.375
Mg6 Mg 0.125 0.250 0.375
Mg7 Mg 0.875 0.750 0.625
Mg8 Mg 0.250 0.875 0.625
Mg9 Mg 0.125 0.375 0.750
Mg10 Mg 0.625 0.875 0.750
Mg11 Mg 0.625 0.250 0.875
Mg12 Mg 0.750 0.625 0.875
N1 N 0.203 0.114 0.025
N2 N 0.321 0.910 0.025
N3 N 0.703 0.679 0.089
N4 N 0.886 0.410 0.089
N5 N 0.614 0.411 0.090
N6 N 0.975 0.679 0.090
N7 N 0.025 0.203 0.114
N8 N 0.590 0.911 0.114
N9 N 0.475 0.590 0.179
N10 N 0.203 0.589 0.179
N11 N 0.114 0.025 0.203
N12 N 0.589 0.179 0.203
N13 N 0.321 0.911 0.297
N14 N 0.475 0.386 0.297
N15 N 0.910 0.025 0.321
N16 N 0.911 0.297 0.321
N17 N 0.297 0.475 0.386
N18 N 0.589 0.910 0.386
N19 N 0.821 0.525 0.410
N20 N 0.089 0.886 0.410
N21 N 0.090 0.614 0.411
N22 N 0.821 0.797 0.411
N23 N 0.590 0.179 0.475
N24 N 0.386 0.297 0.475
N25 N 0.614 0.703 0.525
N26 N 0.410 0.821 0.525
N27 N 0.179 0.203 0.589
N28 N 0.910 0.386 0.589
N29 N 0.911 0.114 0.590
N30 N 0.179 0.475 0.590
N31 N 0.411 0.090 0.614
N32 N 0.703 0.525 0.614
N33 N 0.089 0.703 0.679
N34 N 0.090 0.975 0.679
N35 N 0.679 0.089 0.703
N36 N 0.525 0.614 0.703
N37 N 0.411 0.821 0.797
N38 N 0.886 0.975 0.797
N39 N 0.525 0.410 0.821
N40 N 0.797 0.411 0.821
N41 N 0.410 0.089 0.886
N42 N 0.975 0.797 0.886
N43 N 0.025 0.321 0.910
N44 N 0.386 0.589 0.910
N45 N 0.297 0.321 0.911
N46 N 0.114 0.590 0.911
N47 N 0.679 0.090 0.975
N48 N 0.797 0.886 0.975
Re1 Re 0.000 0.000 0.000
Re2 Re 0.500 0.000 0.000
Re3 Re 0.000 0.500 0.000
Re4 Re 0.500 0.500 0.000
Re5 Re 0.000 0.000 0.500
Re6 Re 0.500 0.000 0.500
Re7 Re 0.000 0.500 0.500
Re8 Re 0.500 0.500 0.500
W1 W 0.875 0.250 0.125
W2 W 0.750 0.875 0.125
W3 W 0.625 0.375 0.250
W4 W 0.125 0.875 0.250
W5 W 0.250 0.625 0.375
W6 W 0.625 0.750 0.375
W7 W 0.375 0.250 0.625
W8 W 0.750 0.375 0.625
W9 W 0.875 0.125 0.750
W10 W 0.375 0.625 0.750
W11 W 0.250 0.125 0.875
W12 W 0.125 0.750 0.875
# - magnetization (μB/f.u.) = 0.0
# - ρ (Mg/m³) = 8.03
# - crystal system = cubic
# - electronic total energy (eV for the cell shown) = -683.40

(7)
# SmMgZnN2 GGA-PBE optimized geometry
data_SmMgZnN2
_chemical_formula_sum 'Sm1 Mg1 Zn1 N2'
_cell_length_a 3.497
_cell_length_b 3.497
_cell_length_c 6.281
_cell_angle_alpha 90.00
_cell_angle_beta 90.00
_cell_angle_gamma 120.00
_symmetry_space_group_name_H-M 'P 1'
_symmetry_Int_Tables_number 1
_symmetry_space_group_name_Hall 'P 1'
loop_
_atom_site_label
_atom_site_type_symbol
_atom_site_fract_x
_atom_site_fract_y
_atom_site_fract_z
Mg1 Mg 0.000 0.000 0.129
N1 N 0.667 0.333 0.235
N2 N 0.000 0.000 0.780
Sm1 Sm 0.333 0.667 0.500
Zn1 Zn 0.667 0.333 0.856
# - magnetization (μB/f.u.) = 0.0
# - ρ (Mg/m³) = 6.69
# - crystal system = trigonal
# - electronic total energy (eV for the cell shown) = -27.08

(8)
# Mg3TcN4 GGA-PBE optimized geometry
data_Mg3TcN4
_chemical_formula_sum 'Mg6 Tc2 N8'
_cell_length_a 6.696
_cell_length_b 5.806
_cell_length_c 5.269
_cell_angle_alpha 90.00
_cell_angle_beta 90.00
_cell_angle_gamma 90.00
_symmetry_space_group_name_H-M 'P 1'
_symmetry_Int_Tables_number 1
_symmetry_space_group_name_Hall 'P 1'
loop_
_atom_site_label
_atom_site_type_symbol
_atom_site_fract_x
_atom_site_fract_y
_atom_site_fract_z
Mg1 Mg 0.248 0.169 0.010
Mg2 Mg 0.752 0.169 0.010
Mg3 Mg 0.500 0.658 0.010
Mg4 Mg 0.252 0.831 0.510
Mg5 Mg 0.748 0.831 0.510
Mg6 Mg 0.000 0.342 0.510
N1 N 0.000 0.364 0.110
N2 N 0.232 0.823 0.111
N3 N 0.768 0.823 0.111
N4 N 0.500 0.324 0.150
N5 N 0.500 0.636 0.610
N6 N 0.268 0.177 0.611
N7 N 0.732 0.177 0.611
N8 N 0.000 0.676 0.650
Tc1 Tc 0.000 0.671 0.003
Tc2 Tc 0.500 0.329 0.503
# - magnetization (μB/f.u.) = 1.0
# - ρ (Mg/m³) = 3.68
# - crystal system = orthorhombic
# - electronic total energy (eV for the cell shown) = -105.55

(9)
# Th2Mg2N GGA-PBE optimized geometry
data_Th2Mg2N
_chemical_formula_sum 'Th2 Mg2 N1'
_cell_length_a 3.560
_cell_length_b 3.560
_cell_length_c 8.505
_cell_angle_alpha 90.00
_cell_angle_beta 90.00
_cell_angle_gamma 90.00
_symmetry_space_group_name_H-M 'P 1'
_symmetry_Int_Tables_number 1
_symmetry_space_group_name_Hall 'P 1'
loop_
_atom_site_label
_atom_site_type_symbol
_atom_site_fract_x
_atom_site_fract_y
_atom_site_fract_z
Mg1 Mg 0.500 0.000 0.500
Mg2 Mg 0.000 0.500 0.500
N1 N 0.000 0.000 0.000
Th1 Th 0.500 0.500 0.176
Th2 Th 0.500 0.500 0.824
# - magnetization (μB/f.u.) = 0.4
# - ρ (Mg/m³) = 8.12
# - crystal system = tetragonal
# - electronic total energy (eV for the cell shown) = -24.23

(10)
# MgZr4TlN2 GGA-PBE optimized geometry
data_MgZr4TlN2
_chemical_formula_sum 'Mg1 Zr4 Tl1 N2'
_cell_length_a 3.323
_cell_length_b 3.323
_cell_length_c 15.056
_cell_angle_alpha 90.00
_cell_angle_beta 90.00
_cell_angle_gamma 120.00
_symmetry_space_group_name_H-M 'P 1'
_symmetry_Int_Tables_number 1
_symmetry_space_group_name_Hall 'P 1'
loop_
_atom_site_label
_atom_site_type_symbol
_atom_site_fract_x
_atom_site_fract_y
_atom_site_fract_z
Mg1 Mg 0.667 0.333 0.000
N1 N 0.333 0.667 0.252
N2 N 0.333 0.667 0.748
Tl1 Tl 0.000 0.000 0.500
Zr1 Zr 0.000 0.000 0.171
Zr2 Zr 0.667 0.333 0.334
Zr3 Zr 0.667 0.333 0.666
Zr4 Zr 0.000 0.000 0.829
# - magnetization (μB/f.u.) = 0.0
# - ρ (Mg/m³) = 7.17
# - crystal system = hexagonal
# - electronic total energy (eV for the cell shown) = -62.11